TcRhPb, relaxed, DFT PBE-GGA; calculated volume = 53.94 Å³ per cell; excess energy over the best structure of this formula in the dataset = 0.424 eV/f.u.; space group = No. 156; final energy = -6.6759 eV/atom; energy of formation from the pure elements = 135 kJ/mol of formula units
1.0
3.019 0.000 0.000
-1.510 2.615 0.000
0.000 0.000 6.833
Tc Rh Pb
1 1 1
Cartesian
0.000 1.743 4.387
1.510 0.872 2.432
0.000 0.000 0.014